1.
A relaxed structure of CeTmAg6. Source: Alexandria via LeMat-Bulk, functional PBE.

Values from the calculation:
As for the calculated volume: 169.8 Å³/cell. As for the energy of formation: -0.132 eV/atom. The size of the total moment comes out at 1.02 Bohr magnetons per cell. As for the density of states at the Fermi level: 1.21 states/eV/atom. As for the symmetry: C2/m, No. 12.

POSCAR file:
```
CeTmAg6
1.0
4.269 -2.449 0.000
4.269 2.449 0.000
-2.909 0.000 8.120
Ce Tm Ag
1 1 6
Cartesian
0.000 0.000 0.000
2.815 0.000 4.060
-0.018 0.000 3.099
-0.053 0.000 6.068
2.839 0.000 1.129
2.791 0.000 6.991
5.683 0.000 2.052
5.648 0.000 5.020
```

2.
A relaxed structure of CeTm2Ag. Source: Alexandria via LeMat-Bulk, functional PBE.

Values from the calculation:
The calculation puts the energy above the most stable polymorph in this dataset at 232 meV/atom. As for the calculated volume: 102.7 Å³/cell. As for the energy of formation: 0.133 eV/atom. The size of the total moment comes out at 2.98 Bohr magnetons per cell. As for the density of states at the Fermi level: 2.08 states/eV/atom. As for the symmetry: Fm-3m, No. 225.

POSCAR file:
```
CeTm2Ag
1.0
0.000 3.717 3.717
3.717 0.000 3.717
3.717 3.717 0.000
Ce Tm Ag
1 2 1
Cartesian
0.000 0.000 0.000
1.858 1.858 1.858
5.575 5.575 5.575
3.717 3.717 3.717
```

3.
A relaxed structure of CeTmAg2. Source: Alexandria via LeMat-Bulk, functional PBE.

Values from the calculation:
The calculation puts the energy above the most stable polymorph in this dataset at 0 meV/atom. As for the calculated volume: 97.5 Å³/cell. As for the energy of formation: -0.202 eV/atom. The size of the total moment comes out at 1.18 Bohr magnetons per cell. As for the density of states at the Fermi level: 1.94 states/eV/atom. As for the symmetry: P4/mmm, No. 123.

POSCAR file:
```
CeTmAg2
1.0
3.565 0.000 0.000
0.000 3.565 0.000
0.000 0.000 7.668
Ce Tm Ag
1 1 2
Cartesian
0.000 0.000 0.000
0.000 0.000 3.834
1.783 1.783 2.110
1.783 1.783 5.558
```